Entry 1:
Computed, not measured: an optimized crystal structure of Nd5MgCu4 at the PBE-GGA level of DFT.

- E_form (meV/atom) = -128
- DOS(E_F) (states/eV/atom) = 0.9100

Cell: 3.6015 3.6015 18.8458 Å, 90.00 90.00 90.00°
Last column: nearest neighbours and their distance in Å.
Sites, in units of the cell vectors:
Nd 0.5000 0.5000 0.1205  4 Cu 3.08, 4 Mg 3.41
Nd 0.5000 0.5000 0.3089  8 Cu 3.12-3.13
Nd 0.5000 0.5000 0.5000  8 Cu 3.11
Nd 0.5000 0.5000 0.6911  8 Cu 3.12-3.13
Nd 0.5000 0.5000 0.8795  4 Cu 3.08, 4 Mg 3.41
Mg 0.0000 0.0000 0.0000  8 Nd 3.41, 4 Mg 3.60
Cu 0.0000 0.0000 0.2121  8 Nd 3.08-3.13
Cu 0.0000 0.0000 0.4048  8 Nd 3.11-3.12
Cu 0.0000 0.0000 0.5952  8 Nd 3.11-3.12
Cu 0.0000 0.0000 0.7879  8 Nd 3.08-3.13


Entry 2:
Computed, not measured: an optimized crystal structure of Mg3Sn2Pd4 at the PBE-GGA level of DFT.

- E_form (meV/atom) = -621
- DOS(E_F) (states/eV/atom) = 0.3395

Cell: 4.5774 4.5724 8.7247 Å, 90.13 90.01 59.95°
Last column: nearest neighbours and their distance in Å.
Sites, in units of the cell vectors:
Mg 0.3332 0.3336 0.4247  4 Pd 2.74-2.76, 3 Mg 2.95
Mg 0.0000 0.0000 0.0000  8 Pd 2.81-2.92
Mg 0.6668 0.6664 0.5753  4 Pd 2.74-2.76, 3 Mg 2.95
Sn 0.3331 0.3336 0.7871  7 Pd 2.79-2.85
Sn 0.6669 0.6664 0.2129  7 Pd 2.79-2.85
Pd 0.6663 0.6674 0.8899  4 Mg 2.74-2.81, 4 Sn 2.79-2.82
Pd 0.0000 0.0002 0.3345  4 Mg 2.76-2.92, 3 Sn 2.84-2.85, 1 Pd 2.89
Pd 0.0000 0.9998 0.6655  4 Mg 2.76-2.92, 3 Sn 2.84-2.85, 1 Pd 2.89
Pd 0.3337 0.3326 0.1101  4 Mg 2.74-2.81, 4 Sn 2.79-2.82


Entry 3:
Computed, not measured: an optimized crystal structure of Rb2LaAg2 at the PBE-GGA level of DFT.

- E_form (meV/atom) = 215
- DOS(E_F) (states/eV/atom) = 1.4862

Cell: 8.0537 8.0537 5.9142 Å, 90.00 90.00 90.00°
Last column: nearest neighbours and their distance in Å.
Sites, in units of the cell vectors:
Rb 0.1674 0.6674 0.5000  6 Ag 3.79, 5 Rb 3.81-4.24, 4 La 4.21
Rb 0.6674 0.8326 0.5000  6 Ag 3.79, 5 Rb 3.81-4.24, 4 La 4.21
Rb 0.8326 0.3326 0.5000  6 Ag 3.79, 5 Rb 3.81-4.24, 4 La 4.21
Rb 0.3326 0.1674 0.5000  6 Ag 3.79, 5 Rb 3.81-4.24, 4 La 4.21
Ag 0.3758 0.8758 0.0000  1 Ag 2.83
Ag 0.8758 0.6242 0.0000  1 Ag 2.83
Ag 0.6242 0.1242 0.0000  1 Ag 2.83
Ag 0.1242 0.3758 0.0000  1 Ag 2.83
La 0.0000 0.0000 0.0000  4 Ag 3.19
La 0.5000 0.5000 0.0000  4 Ag 3.19


Entry 4:
Computed, not measured: an optimized crystal structure of FeReRh2 at the PBE-GGA level of DFT.

- E_form (meV/atom) = -7
- polymorph energy (0 for the lowest one) (eV per atom) = 0.0753
- DOS(E_F) (states/eV/atom) = 1.1950

Cell: 4.6792 4.6792 4.6375 Å, 80.48 80.48 33.45°
Last column: nearest neighbours and their distance in Å.
Sites, in units of the cell vectors:
Fe 0.7500 0.7500 0.7500  4 Re 2.68, 6 Rh 2.69-2.70, 2 Fe 2.69
Re 0.2500 0.2500 0.2500  4 Fe 2.68, 6 Rh 2.69-2.71, 2 Re 2.69
Rh 0.0012 0.0012 0.9983  6 Rh 2.67-2.69, 3 Fe 2.69-2.70, 3 Re 2.69-2.71
Rh 0.4988 0.4988 0.5017  6 Rh 2.67-2.69, 3 Fe 2.69-2.70, 3 Re 2.69-2.71


Entry 5:
Computed, not measured: an optimized crystal structure of Na2LaTeSe4 at the PBE-GGA level of DFT.

- DOS(E_F) (states/eV/atom) = 0.1696
- formation energy without anion corrections (eV/atom) = -1.0438

Cell: 8.4881 8.4881 8.6035 Å, 118.61 118.61 89.15°
Last column: nearest neighbours and their distance in Å.
Sites, in units of the cell vectors:
Na 0.5000 0.0000 0.0000  6 Se 2.99-3.32
Na 0.5000 0.0000 0.5000  6 Se 2.99-3.32
Na 0.0000 0.0000 0.5000  6 Se 3.02-3.28
Na 0.5000 0.5000 0.0000  6 Se 3.02-3.28
La 0.0000 0.5000 0.0000  6 Se 3.00-3.06
La 0.0000 0.5000 0.5000  6 Se 3.00-3.06
Te 0.5000 0.5000 0.5000  4 Se 2.77-2.85
Te 0.0000 0.0000 0.0000  4 Se 2.77-2.85
Se 0.2277 0.7499 0.9798  1 Te 2.85, 2 La 3.01-3.06, 2 Na 3.05-3.11
Se 0.7501 0.2723 0.5202  1 Te 2.85, 2 La 3.01-3.06, 2 Na 3.05-3.11
Se 0.2499 0.7277 0.4798  1 Te 2.85, 2 La 3.01-3.06, 2 Na 3.05-3.11
Se 0.7723 0.2501 0.0202  1 Te 2.85, 2 La 3.01-3.06, 2 Na 3.05-3.11
Se 0.7834 0.7840 0.0262  1 Te 2.77, 2 Na 2.99-3.02, 1 La 3.00
Se 0.7160 0.7166 0.4738  1 Te 2.77, 2 Na 2.99-3.02, 1 La 3.00
Se 0.2840 0.2834 0.5262  1 Te 2.77, 2 Na 2.99-3.02, 1 La 3.00
Se 0.2166 0.2160 0.9738  1 Te 2.77, 2 Na 2.99-3.02, 1 La 3.00


Entry 6:
Computed, not measured: an optimized crystal structure of CsScHgF6 at the PBE-GGA level of DFT.

- DOS(E_F) (states/eV/atom) = 0.0000
- formation energy without anion corrections (eV/atom) = -2.8867

Cell: 6.0355 6.0355 6.1520 Å, 90.04 89.96 59.90°
Last column: nearest neighbours and their distance in Å.
Sites, in units of the cell vectors:
Cs 0.0002 0.0003 0.0000  6 F 3.03-3.04
Sc 0.6667 0.6668 0.5000  6 F 2.05
Hg 0.3338 0.3339 0.5000  6 F 2.35
F 0.9649 0.4054 0.3129  1 Sc 2.05
F 0.4054 0.9650 0.6871  1 Sc 2.05
F 0.6270 0.4094 0.6893  1 Sc 2.05
F 0.9623 0.6301 0.6887  1 Sc 2.05
F 0.4093 0.6270 0.3107  1 Sc 2.05
F 0.6300 0.9623 0.3112  1 Sc 2.05


Entry 7:
Computed, not measured: an optimized crystal structure of TlNiI2 at the PBE-GGA level of DFT.

- polymorph energy (0 for the lowest one) (eV per atom) = 0.1522
- DOS(E_F) (states/eV/atom) = 0.8050
- formation energy without anion corrections (eV/atom) = -0.0284

Cell: 3.9357 3.9357 10.2112 Å, 78.89 78.89 60.00°
Last column: nearest neighbours and their distance in Å.
Sites, in units of the cell vectors:
I 0.1158 0.1158 0.6526  3 Ni 2.73
I 0.8842 0.8842 0.3474  3 Ni 2.73
Ni 0.5000 0.5000 0.5000  6 I 2.73
Tl 0.0000 0.0000 0.0000  2 I 3.46


Entry 8:
Computed, not measured: an optimized crystal structure of Na3Np2PbSe6 at the PBE-GGA level of DFT.

- DOS(E_F) (states/eV/atom) = 1.5697
- formation energy without anion corrections (eV/atom) = -1.1011

Cell: 7.3714 7.3714 7.3685 Å, 99.69 99.69 120.02°
Last column: nearest neighbours and their distance in Å.
Sites, in units of the cell vectors:
Na 0.1603 0.8397 0.5000  6 Se 3.01-3.16
Na 0.8397 0.1603 0.5000  6 Se 3.01-3.16
Na 0.5000 0.5000 0.5000  6 Se 2.96-3.14
Np 0.3327 0.6673 0.0000  6 Se 2.87-2.89
Np 0.6673 0.3327 0.0000  6 Se 2.87-2.89
Pb 0.0000 0.0000 0.0000  6 Se 3.07-3.08
Se 0.9218 0.5672 0.7677  2 Np 2.87-2.88, 3 Na 3.01-3.16, 1 Pb 3.07
Se 0.7241 0.7241 0.2338  2 Np 2.89, 3 Na 2.96-3.08, 1 Pb 3.08
Se 0.0782 0.4328 0.2323  2 Np 2.87-2.88, 3 Na 3.01-3.16, 1 Pb 3.07
Se 0.5672 0.9218 0.7677  2 Np 2.87-2.88, 3 Na 3.01-3.16, 1 Pb 3.07
Se 0.2759 0.2759 0.7662  2 Np 2.89, 3 Na 2.96-3.08, 1 Pb 3.08
Se 0.4328 0.0782 0.2323  2 Np 2.87-2.88, 3 Na 3.01-3.16, 1 Pb 3.07


Number 1: total moment 0.0 μB per cell, final energy -43.10 eV per formula unit. Number 2: total moment 0.0 μB per cell, final energy -39.15 eV per formula unit. Number 3: total moment 0.0 μB per cell, final energy -11.49 eV per formula unit. Number 4: total moment 2.6 μB per cell, final energy -35.64 eV per formula unit. Number 5: total moment 0.0 μB per cell, final energy -33.00 eV per formula unit. Number 6: total moment 0.0 μB per cell, final energy -44.70 eV per formula unit. Number 7: total moment 1.5 μB per cell, final energy -11.36 eV per formula unit. Number 8: total moment 7.0 μB per cell, final energy -67.67 eV per formula unit.